Entry 1:
First-principles (PBEsol) data for a geometry-optimized FeCo2 structure, as listed in Alexandria.

Unit cell a=3.911 b=4.611 c=4.627 alpha=62.94 beta=65.00 gamma=64.91
Each line ends with the local moment (μB).
Element x y z (fractional)
Co 0.009 0.239 0.744  1.70
Fe 0.334 0.742 0.589  2.62
Co 0.669 0.753 0.910  1.69
Co 0.331 0.247 0.090  1.69
Co 0.991 0.761 0.256  1.70
Fe 0.666 0.258 0.411  2.62

Total magnetization: 5.98 μB/f.u.
ΔH_f (0 K): 0.04 eV/atom
Space-group type: C2/m (12)
Calculated volume: 10.7 A^3/atom
DFT total energy: -8.106 eV per atom
DOS(E_F): 0.8643 states/eV/atom



Entry 2:
First-principles (PBEsol) data for a geometry-optimized TeRhAu structure, as listed in Alexandria.

Unit cell a=3.477 b=3.477 c=5.141 alpha=109.76 beta=109.76 gamma=90.00
Element x y z (fractional)
Rh 0.312 0.312 0.624
Au 0.994 0.994 0.989
Te 0.694 0.694 0.387

Total magnetization: 0.00 μB/f.u.
Space-group type: I4mm (107)
Calculated volume: 18.2 A^3/atom
Energy above the most stable polymorph in this dataset: 0.00 eV per formula unit
DFT total energy: -5.181 eV per atom
DOS(E_F): 0.3510 states/eV/atom



Entry 3:
First-principles (PBEsol) data for a geometry-optimized Zr2CdPb structure, as listed in Alexandria.

Unit cell a=3.131 b=3.131 c=9.404 alpha=90.00 beta=90.00 gamma=90.22
Element x y z (fractional)
Cd 0.000 0.000 0.514
Zr 0.500 0.500 0.751
Zr 0.000 0.000 0.987
Pb 0.500 0.500 0.248

Total magnetization: 0.00 μB/f.u.
ΔH_f (0 K): -0.06 eV/atom
Space-group type: Cmm2 (35)
Calculated volume: 23.1 A^3/atom
DFT total energy: -5.900 eV per atom
DOS(E_F): 0.6813 states/eV/atom



Entry 4:
First-principles (PBEsol) data for a geometry-optimized LiFePO4 structure, as listed in Alexandria.

Unit cell a=4.853 b=5.341 c=6.031 alpha=90.22 beta=90.00 gamma=117.02
Each line ends with the local moment (μB).
Element x y z (fractional)
O 0.787 0.705 0.251  0.09
O 0.662 0.721 0.751  0.06
Li 0.329 0.646 0.250  0.00
P 0.307 0.624 0.751  0.01
O 0.487 0.268 0.038  0.06
Fe 0.030 0.000 0.000  3.59
O 0.082 0.295 0.749  0.09
P 0.683 0.376 0.249  0.01
O 0.219 0.732 0.962  0.06
Li 0.682 0.354 0.750  0.00
O 0.488 0.268 0.460  0.06
Fe 0.033 0.000 0.500  3.59
O 0.941 0.279 0.249  0.06
O 0.220 0.732 0.540  0.06

Total magnetization: 4.00 μB/f.u.
Space-group type: C2 (5)
Calculated volume: 9.9 A^3/atom
Energy above the most stable polymorph in this dataset: 0.33 eV per formula unit
DFT total energy: -7.253 eV per atom
DOS(E_F): 0.2591 states/eV/atom



Entry 5:
First-principles (PBEsol) data for a geometry-optimized AuSe3 structure, as listed in Alexandria.

Unit cell a=6.848 b=6.809 c=8.399 alpha=90.00 beta=90.00 gamma=90.00
Element x y z (fractional)
Se 0.250 0.723 0.383
Se 0.750 0.277 0.617
Se 0.490 0.277 0.844
Se 0.490 0.777 0.656
Au 0.750 0.472 0.245
Au 0.250 0.528 0.755
Se 0.010 0.777 0.656
Se 0.510 0.223 0.344
Se 0.990 0.723 0.156
Se 0.990 0.223 0.344
Se 0.750 0.777 0.883
Au 0.750 0.972 0.255
Se 0.510 0.723 0.156
Se 0.010 0.277 0.844
Au 0.250 0.028 0.745
Se 0.250 0.223 0.117

Total magnetization: 0.00 μB/f.u.
Space-group type: Pnma (62)
Calculated volume: 24.5 A^3/atom
DFT total energy: -3.802 eV per atom
DOS(E_F): 0.3510 states/eV/atom



Entry 6:
First-principles (PBEsol) data for a geometry-optimized Ni2BiS structure, as listed in Alexandria.

Unit cell a=4.566 b=4.566 c=7.434 alpha=107.88 beta=107.88 gamma=90.00
Element x y z (fractional)
Ni 0.738 0.375 0.250
Ni 0.512 0.875 0.250
S 0.500 0.500 0.000
Bi 0.250 0.750 0.500
Ni 0.625 0.488 0.750
Ni 0.125 0.262 0.750
S 0.750 0.250 0.500
Bi 0.000 0.000 0.000

Total magnetization: 0.00 μB/f.u.
Space-group type: I-42d (122)
Calculated volume: 17.4 A^3/atom
Energy above the most stable polymorph in this dataset: 0.00 eV per formula unit
DFT total energy: -5.478 eV per atom
DOS(E_F): 0.2552 states/eV/atom



Entry 7:
First-principles (PBEsol) data for a geometry-optimized MnB2H8 structure, as listed in Alexandria.

Unit cell a=7.418 b=7.418 c=7.930 alpha=117.90 beta=117.90 gamma=89.98
Each line ends with the local moment (μB).
Element x y z (fractional)
B 0.900 0.625 0.750  0.07
H 0.034 0.211 0.917  0.01
H 0.752 0.259 0.271  0.01
H 0.240 0.981 0.728  0.01
B 0.850 0.125 0.750  0.07
B 0.350 0.125 0.750  0.07
B 0.375 0.100 0.250  0.07
H 0.216 0.539 0.583  0.01
H 0.988 0.481 0.729  0.01
Mn 0.500 0.000 0.000  4.29
H 0.262 0.269 0.771  0.01
H 0.010 0.769 0.772  0.01
H 0.789 0.966 0.083  0.01
H 0.519 0.012 0.271  0.01
H 0.498 0.491 0.229  0.01
H 0.294 0.116 0.083  0.01
H 0.253 0.512 0.272  0.01
B 0.400 0.625 0.750  0.07
B 0.875 0.150 0.250  0.07
H 0.956 0.634 0.417  0.01
H 0.762 0.003 0.772  0.01
Mn 0.750 0.750 0.500  4.29
H 0.384 0.711 0.917  0.01
H 0.884 0.706 0.917  0.01
H 0.488 0.747 0.728  0.01
Mn 0.000 0.500 0.000  4.29
B 0.375 0.600 0.250  0.07
H 0.533 0.206 0.917  0.01
H 0.961 0.134 0.417  0.01
H 0.366 0.044 0.583  0.01
H 0.741 0.248 0.729  0.01
H 0.231 0.990 0.228  0.01
H 0.509 0.502 0.771  0.01
B 0.875 0.650 0.250  0.07
H 0.289 0.616 0.083  0.01
H 0.997 0.238 0.228  0.01
H 0.717 0.544 0.583  0.01
H 0.731 0.738 0.229  0.01
H 0.456 0.283 0.417  0.01
H 0.794 0.467 0.083  0.01
H 0.461 0.784 0.417  0.01
Mn 0.250 0.250 0.500  4.29
H 0.019 0.760 0.272  0.01
H 0.866 0.039 0.583  0.01

Total magnetization: 5.00 μB/f.u.
Space-group type: I4_1/acd (142)
Calculated volume: 7.4 A^3/atom
Energy above the most stable polymorph in this dataset: 0.04 eV per formula unit
DFT total energy: -4.538 eV per atom



Entry 8:
First-principles (PBEsol) data for a geometry-optimized Na6Cd7S10 structure, as listed in Alexandria.

Unit cell a=4.133 b=10.302 c=13.303 alpha=107.99 beta=98.94 gamma=90.00
Element x y z (fractional)
S 0.719 0.315 0.438
S 0.537 0.708 0.073
Cd 0.563 0.480 0.125
S 0.313 0.150 0.626
Na 0.005 0.187 0.011
Cd 0.160 0.285 0.319
S 0.889 0.521 0.778
Cd 0.351 0.955 0.702
Na 0.301 0.419 0.602
S 0.289 0.699 0.578
Na 0.120 0.749 0.240
S 0.471 0.307 0.942
Na 0.892 0.242 0.785
Cd 0.751 0.100 0.502
Na 0.707 0.619 0.414
Cd 0.446 0.524 0.892
S 0.909 0.954 0.818
S 0.082 0.065 0.163
Cd 0.846 0.706 0.692
Cd 0.608 0.965 0.217
S 0.684 0.873 0.368
S 0.120 0.482 0.241
Na 0.988 0.813 0.977

Total magnetization: 0.00 μB/f.u.
Space-group type: Cm (8)
Calculated volume: 23.1 A^3/atom
DFT total energy: -3.443 eV per atom



Entry 9:
First-principles (PBEsol) data for a geometry-optimized Na2AgSn2 structure, as listed in Alexandria.

Unit cell a=5.062 b=7.091 c=7.091 alpha=90.00 beta=90.00 gamma=90.00
Element x y z (fractional)
Ag 0.000 0.000 0.000
Na 0.500 0.832 0.332
Sn 0.000 0.858 0.642
Na 0.500 0.668 0.832
Sn 0.000 0.142 0.358
Ag 0.000 0.500 0.500
Na 0.500 0.168 0.668
Sn 0.000 0.642 0.142
Sn 0.000 0.358 0.858
Na 0.500 0.332 0.168

Total magnetization: 0.00 μB/f.u.
ΔH_f (0 K): -0.13 eV/atom
Space-group type: P4/mbm (127)
Calculated volume: 25.5 A^3/atom
DFT total energy: -3.053 eV per atom
DOS(E_F): 0.3804 states/eV/atom



Entry 10:
First-principles (PBEsol) data for a geometry-optimized MgCuHAu2 structure, as listed in Alexandria.

Unit cell a=3.092 b=5.032 c=5.032 alpha=90.00 beta=90.00 gamma=90.00
Element x y z (fractional)
H 0.500 0.000 0.000
Cu 0.500 0.500 0.500
Au 0.000 0.500 0.000
Mg 0.000 0.000 0.000
Au 0.000 0.000 0.500

Total magnetization: 0.00 μB/f.u.
Space-group type: P4/mmm (123)
Calculated volume: 15.7 A^3/atom
DFT total energy: -2.949 eV per atom
DOS(E_F): 0.2249 states/eV/atom



Entry 11:
First-principles (PBEsol) data for a geometry-optimized Rb2BaCrSi structure, as listed in Alexandria.

Unit cell a=5.143 b=6.557 c=6.557 alpha=90.00 beta=90.00 gamma=90.00
Each line ends with the local moment (μB).
Element x y z (fractional)
Si 0.500 0.500 0.500  -0.10
Ba 0.000 0.000 0.000  0.01
Rb 0.000 0.000 0.500  0.00
Rb 0.000 0.500 0.000  0.00
Cr 0.500 0.000 0.000  3.33

Total magnetization: 3.48 μB/f.u.
Space-group type: P4/mmm (123)
Calculated volume: 44.2 A^3/atom
DFT total energy: -2.410 eV per atom
DOS(E_F): 0.9995 states/eV/atom



Entry 12:
First-principles (PBEsol) data for a geometry-optimized NiAg2Os structure, as listed in Alexandria.

Unit cell a=2.597 b=4.733 c=5.411 alpha=115.30 beta=102.81 gamma=92.39
Each line ends with the local moment (μB).
Element x y z (fractional)
Ni 0.500 0.000 0.000  0.38
Os 0.000 0.500 0.000  0.27
Ag 0.500 0.500 0.500  0.01
Ag 0.000 0.000 0.500  0.01

Total magnetization: 0.68 μB/f.u.
ΔH_f (0 K): 0.58 eV/atom
Space-group type: C2/m (12)
Calculated volume: 14.5 A^3/atom
Energy above the most stable polymorph in this dataset: 0.03 eV per formula unit
DFT total energy: -5.671 eV per atom
DOS(E_F): 1.1072 states/eV/atom



Entry 13:
First-principles (PBEsol) data for a geometry-optimized BaTaBeSn2 structure, as listed in Alexandria.

Unit cell a=4.660 b=5.716 c=5.716 alpha=90.00 beta=90.00 gamma=90.00
Each line ends with the local moment (μB).
Element x y z (fractional)
Sn 0.000 0.000 0.500  -0.04
Ba 0.000 0.000 0.000  -0.02
Ta 0.500 0.500 0.500  1.53
Sn 0.000 0.500 0.000  -0.04
Be 0.500 0.000 0.000  0.00

Total magnetization: 2.15 μB/f.u.
ΔH_f (0 K): 2.28 eV/atom
Space-group type: P4/mmm (123)
Calculated volume: 30.4 A^3/atom
DFT total energy: -3.167 eV per atom
DOS(E_F): 1.2083 states/eV/atom



Entry 14:
First-principles (PBEsol) data for a geometry-optimized Y2NiTe structure, as listed in Alexandria.

Unit cell a=3.646 b=4.968 c=4.957 alpha=90.00 beta=90.00 gamma=90.00
Element x y z (fractional)
Y 0.000 0.000 0.000
Y 0.000 0.500 0.500
Te 0.500 0.000 0.500
Ni 0.500 0.500 0.000

Total magnetization: 0.00 μB/f.u.
Space-group type: Pmmm (47)
Calculated volume: 22.4 A^3/atom
DFT total energy: -6.419 eV per atom
DOS(E_F): 1.0245 states/eV/atom



Entry 15:
First-principles (PBEsol) data for a geometry-optimized CuHg2Os structure, as listed in Alexandria.

Unit cell a=2.836 b=2.841 c=8.302 alpha=90.00 beta=90.00 gamma=90.00
Element x y z (fractional)
Hg 0.000 0.000 0.964
Hg 0.500 0.500 0.277
Cu 0.500 0.500 0.727
Os 0.000 0.000 0.531

Total magnetization: 0.01 μB/f.u.
ΔH_f (0 K): 0.56 eV/atom
Space-group type: P4mm (99)
Calculated volume: 16.7 A^3/atom
Energy above the most stable polymorph in this dataset: 0.00 eV per formula unit
DFT total energy: -3.859 eV per atom
DOS(E_F): 1.0895 states/eV/atom



Entry 16:
First-principles (PBEsol) data for a geometry-optimized Mo2OsBr structure, as listed in Alexandria.

Unit cell a=2.917 b=4.505 c=5.355 alpha=114.87 beta=105.81 gamma=90.00
Element x y z (fractional)
Mo 0.976 0.976 0.952
Os 0.510 0.510 0.019
Mo 0.762 0.262 0.525
Br 0.252 0.752 0.504

Total magnetization: 0.00 μB/f.u.
Space-group type: Imm2 (44)
Calculated volume: 15.2 A^3/atom
Energy above the most stable polymorph in this dataset: 0.32 eV per formula unit
DFT total energy: -8.757 eV per atom
DOS(E_F): 0.7095 states/eV/atom



Entry 17:
First-principles (PBEsol) data for a geometry-optimized ScI2 structure, as listed in Alexandria.

Unit cell a=3.920 b=7.130 c=7.130 alpha=90.00 beta=90.00 gamma=90.00
Each line ends with the local moment (μB).
Element x y z (fractional)
Sc 0.500 0.500 0.500  0.30
I 0.000 0.291 0.291  0.00
I 0.500 0.209 0.791  0.00
Sc 0.000 0.000 0.000  0.30
I 0.000 0.709 0.709  0.00
I 0.500 0.791 0.209  0.00

Total magnetization: 0.45 μB/f.u.
Space-group type: P4_2/mnm (136)
Calculated volume: 33.2 A^3/atom
DFT total energy: -4.404 eV per atom
DOS(E_F): 0.9291 states/eV/atom



Entry 18:
First-principles (PBEsol) data for a geometry-optimized CaMgPt2 structure, as listed in Alexandria.

Unit cell a=2.937 b=4.890 c=5.374 alpha=102.64 beta=105.86 gamma=90.00
Element x y z (fractional)
Pt 0.273 0.710 0.546
Ca 0.522 0.560 0.044
Pt 0.982 0.046 0.964
Mg 0.723 0.184 0.446

Total magnetization: 0.00 μB/f.u.
ΔH_f (0 K): -0.65 eV/atom
Space-group type: Cm (8)
Calculated volume: 18.1 A^3/atom
DFT total energy: -5.091 eV per atom
DOS(E_F): 0.3753 states/eV/atom



Entry 19:
First-principles (PBEsol) data for a geometry-optimized K2Cr4CoH4O16 structure, as listed in Alexandria.

Unit cell a=6.842 b=7.374 c=7.794 alpha=88.63 beta=82.12 gamma=63.37
Each line ends with the local moment (μB).
Element x y z (fractional)
O 0.549 0.443 0.266  0.00
O 0.151 0.491 0.190  0.01
O 0.364 0.867 0.965  0.01
O 0.209 0.047 0.342  -0.01
O 0.187 0.970 0.674  0.00
O 0.159 0.723 0.448  0.01
O 0.037 0.777 0.908  0.02
O 0.451 0.557 0.734  0.00
K 0.710 0.734 0.160  0.00
O 0.723 0.677 0.517  0.00
Cr 0.745 0.201 0.176  0.12
Cr 0.255 0.799 0.824  0.12
H 0.134 0.112 0.237  0.00
O 0.849 0.509 0.810  0.01
O 0.277 0.323 0.483  0.00
O 0.636 0.133 0.035  0.01
Cr 0.726 0.502 0.651  0.04
H 0.866 0.888 0.763  0.00
Cr 0.274 0.498 0.349  0.04
K 0.290 0.266 0.840  0.00
O 0.813 0.030 0.326  0.00
H 0.764 0.844 0.600  0.00
O 0.841 0.277 0.552  0.01
O 0.791 0.953 0.658  -0.01
Co 0.000 0.000 0.500  0.61
O 0.963 0.223 0.092  0.02
H 0.236 0.156 0.400  0.00

Total magnetization: 1.06 μB/f.u.
Space-group type: P-1 (2)
Calculated volume: 12.9 A^3/atom
DFT total energy: -7.062 eV per atom
DOS(E_F): 0.0794 states/eV/atom



Entry 20:
First-principles (PBEsol) data for a geometry-optimized Co3SF structure, as listed in Alexandria.

Unit cell a=3.944 b=3.944 c=3.944 alpha=90.00 beta=90.00 gamma=90.00
Each line ends with the local moment (μB).
Element x y z (fractional)
F 0.000 0.000 0.000  0.14
S 0.500 0.500 0.500  0.20
Co 0.000 0.000 0.500  1.95
Co 0.000 0.500 0.000  1.95
Co 0.500 0.000 0.000  1.95

Total magnetization: 6.12 μB/f.u.
Space-group type: Pm-3m (221)
Calculated volume: 12.3 A^3/atom
DFT total energy: -5.386 eV per atom
DOS(E_F): 1.4623 states/eV/atom



Entry 21:
First-principles (PBEsol) data for a geometry-optimized ScTcSe2 structure, as listed in Alexandria.

Unit cell a=4.497 b=3.173 c=4.498 alpha=90.00 beta=90.00 gamma=90.00
Element x y z (fractional)
Se 0.000 0.000 0.000
Se 0.500 0.000 0.500
Sc 0.000 0.500 0.500
Tc 0.500 0.500 0.000

Total magnetization: 0.00 μB/f.u.
Space-group type: P4/mmm (123)
Calculated volume: 16.0 A^3/atom
Energy above the most stable polymorph in this dataset: 0.00 eV per formula unit
DFT total energy: -7.071 eV per atom
DOS(E_F): 0.7322 states/eV/atom



Entry 22:
First-principles (PBEsol) data for a geometry-optimized CaCoRh2 structure, as listed in Alexandria.

Unit cell a=2.836 b=4.516 c=5.469 alpha=114.38 beta=105.03 gamma=90.00
Each line ends with the local moment (μB).
Element x y z (fractional)
Ca 0.503 0.503 0.007  -0.02
Rh 0.727 0.227 0.454  0.47
Rh 0.992 0.992 0.984  0.31
Co 0.278 0.778 0.555  1.82

Total magnetization: 2.56 μB/f.u.
ΔH_f (0 K): 0.19 eV/atom
Space-group type: Imm2 (44)
Calculated volume: 15.3 A^3/atom
Energy above the most stable polymorph in this dataset: 0.00 eV per formula unit
DFT total energy: -6.348 eV per atom
DOS(E_F): 0.9993 states/eV/atom



Entry 23:
First-principles (PBEsol) data for a geometry-optimized KCo2Hg structure, as listed in Alexandria.

Unit cell a=3.251 b=4.730 c=6.200 alpha=90.00 beta=97.03 gamma=90.00
Each line ends with the local moment (μB).
Element x y z (fractional)
Hg 0.500 0.500 0.000  -0.03
Co 0.727 0.000 0.887  1.76
K 0.000 0.500 0.500  -0.01
Co 0.273 0.000 0.113  1.76

Total magnetization: 3.52 μB/f.u.
ΔH_f (0 K): 0.72 eV/atom
Space-group type: P2/m (10)
Calculated volume: 23.7 A^3/atom
DFT total energy: -3.577 eV per atom
DOS(E_F): 0.9907 states/eV/atom